The following is a DFT calculation (PBE) of a geometry-optimized EuThInAg structure.

```
EuThInAg
1.0
0.000 3.841 3.841
3.841 0.000 3.841
3.841 3.841 0.000
Eu Th In Ag
1 1 1 1
Direct
0.000 0.000 0.000
0.500 0.500 0.500
0.750 0.750 0.750
0.250 0.250 0.250
```

Values from the calculation:
total magnetic moment	7.4	μB/f.u.
SG	F-43m, No. 216
DOS at the Fermi energy	1.970	states/eV per atom
DFT total energy	-24.1	eV per cell
mass density	8.892	Mg/m³
energy of formation from the pure elements	-0.201	eV/atom

The following is a DFT calculation (PBE) of a geometry-optimized Li6CdIn2 structure.

```
Li6CdIn2
1.0
7.007 -4.085 0.000
7.007 4.085 0.000
-0.006 0.000 2.889
Li Cd In
6 1 2
Direct
0.165 0.835 0.000
0.166 0.500 0.998
0.500 0.166 0.998
0.500 0.834 0.002
0.834 0.500 0.002
0.835 0.165 0.000
0.500 0.500 0.500
0.167 0.167 0.500
0.833 0.833 0.500
```

Values from the calculation:
total magnetic moment	0.0	μB/f.u.
SG	C2/m, No. 12
DOS at the Fermi energy	0.185	states/eV per atom
DFT total energy	-20.1	eV per cell
mass density	3.853	Mg/m³
energy of formation from the pure elements	-0.252	eV/atom